(1)
The following is a PBEsol calculation of a geometry-optimized Al2SiRu structure, from Alexandria via LeMat-Bulk.

Computed properties:
As for the density of states at the Fermi level: 0.584 states/eV per atom. For the raw formation energy, the calculation gives -0.265 eV per atom.

a = 3.2017 Å, b = 3.2017 Å, c = 5.3731 Å
α = 90.00°, β = 90.00°, γ = 90.00°
With the nearest neighbours (Å) after each atom.
Element x y z (fractional)
Al 0.0000 0.0000 0.0000  2 Ru 2.58-2.80, 4 Si 2.63, 4 Al 2.67
Al 0.5000 0.5000 0.2649  2 Si 2.61-2.76, 4 Ru 2.65, 4 Al 2.67
Si 0.5000 0.5000 0.7509  4 Ru 2.58, 6 Al 2.61-2.76
Ru 0.0000 0.0000 0.5206  6 Al 2.58-2.80, 4 Si 2.58

---

(2)
The following is a PBEsol calculation of a geometry-optimized Al2SiRu structure, from Alexandria via LeMat-Bulk.

Computed properties:
As for the density of states at the Fermi level: 0.473 states/eV per atom. For the raw formation energy, the calculation gives -0.118 eV per atom.

a = 4.2563 Å, b = 4.2563 Å, c = 4.2563 Å
α = 60.00°, β = 60.00°, γ = 60.00°
With the nearest neighbours (Å) after each atom.
Element x y z (fractional)
Al 0.0000 0.0000 0.0000  4 Ru 2.61, 4 Al 2.61
Al 0.2500 0.2500 0.2500  4 Si 2.61, 4 Al 2.61
Si 0.5000 0.5000 0.5000  4 Al 2.61, 4 Ru 2.61
Ru 0.7500 0.7500 0.7500  4 Si 2.61, 4 Al 2.61

---

Number 1: DFT total energy -25.164 eV per formula unit. Number 2: DFT total energy -24.575 eV per formula unit.